1.
First-principles (GGA-PBEsol) data for a relaxed structure of RbNiIr3, as listed in the Alexandria database.

a b c (Å): 4.591 4.591 4.591
angles (deg): 90.00 90.00 90.00
Element x y z (fractional)
Rb: 0.000 0.000 0.000
Ni: 0.500 0.500 0.500
Ir: 0.000 0.500 0.500
Ir: 0.500 0.000 0.500
Ir: 0.500 0.500 0.000

Calculated values
* SG: Pm-3m (221)
* ΔH_f (0 K): 1.668 eV/atom
* volume: 19.36 Å³/atom

2.
First-principles (GGA-PBEsol) data for a relaxed structure of ReNi2Ir, as listed in the Alexandria database.

a b c (Å): 4.155 4.155 4.155
angles (deg): 60.00 60.00 60.00
Element x y z (fractional)
Re: 0.000 0.000 0.000
Ni: 0.500 0.500 0.500
Ni: 0.750 0.750 0.750
Ir: 0.250 0.250 0.250

Calculated values
* SG: F-43m (216)
* ΔH_f (0 K): 0.183 eV/atom
* distance to the lowest polymorph of the same formula: 0.281 eV/atom
* volume: 12.68 Å³/atom

DOS(E_F) / states/eV/atom: 1.599, 1.398